1.
Computed, not measured: an optimized crystal structure of Ba2OsBr at the PBE level of DFT.

The structure in extended XYZ format:
```
4
Lattice="4.5769 0.0000 0.0000 0.0000 4.7510 0.0000 0.0000 0.0000 6.3878" Properties=species:S:1:pos:R:3 pbc="T T T"
Ba 0.0000 0.0000 0.0000
Ba 2.2884 2.3755 3.0758
Os 2.2884 2.3755 0.0306
Br 0.0000 0.0000 3.1970
```

Values from the calculation:
Raw formation energy, meV/atom: -136
Density, g/cm³: 6.51
ΔE to the lowest computed polymorph, eV per atom: 0.097

***

2.
Computed, not measured: an optimized crystal structure of Ca3MnBi at the PBE level of DFT.

The structure in extended XYZ format:
```
5
Lattice="5.9840 0.0000 0.0000 0.0000 5.9840 0.0000 0.0000 0.0000 5.9840" Properties=species:S:1:pos:R:3 pbc="T T T"
Ca 0.0000 0.0000 2.9920
Ca 0.0000 2.9920 0.0000
Ca 2.9920 0.0000 0.0000
Mn 2.9920 2.9920 2.9920
Bi 0.0000 0.0000 0.0000
```

Values from the calculation:
Formation energy, eV per atom: 0.275
Density, g/cm³: 2.98
ΔE to the lowest computed polymorph, eV per atom: 0.076

***

3.
Computed, not measured: an optimized crystal structure of ThU4Sn at the PBE level of DFT.

The structure in extended XYZ format:
```
6
Lattice="0.0000 4.1124 4.1124 4.1124 0.0000 4.1124 4.1124 4.1124 0.0000" Properties=species:S:1:pos:R:3 pbc="T T T"
Th 0.0000 0.0000 0.0000
U 5.1217 3.1031 3.1031
U 3.1031 5.1217 3.1031
U 3.1031 3.1031 5.1217
U 5.1217 5.1217 5.1217
Sn 2.0562 2.0562 2.0562
```

Values from the calculation:
Formation energy, eV per atom: 0.153
Density, g/cm³: 15.55

***

4.
Computed, not measured: an optimized crystal structure of DyHo2Tm12 at the PBE level of DFT.

The structure in extended XYZ format:
```
15
Lattice="3.5756 0.0000 0.0000 0.0000 5.5614 0.0000 -1.7777 0.0000 23.0340" Properties=species:S:1:pos:R:3 pbc="T T T"
Dy 0.0000 0.0000 0.0000
Ho -0.0025 0.0000 6.5600
Ho 1.8003 0.0000 16.4740
Tm -0.0014 2.7807 4.4458
Tm 0.0008 2.7807 10.2006
Tm 0.0110 0.0000 13.2550
Tm 0.0125 2.7807 15.6105
Tm 0.0160 0.0000 19.6439
Tm 0.0002 2.7807 21.4882
Tm 1.7976 2.7807 1.5459
Tm 1.7818 0.0000 3.3901
Tm 1.7854 2.7807 7.4235
Tm 1.7868 0.0000 9.7790
Tm 1.7970 2.7807 12.8334
Tm 1.7992 2.7807 18.5882
```

Values from the calculation:
Formation energy, eV per atom: 0.074
Density, g/cm³: 9.13

***

5.
Computed, not measured: an optimized crystal structure of Sc6MnRh5 at the PBE level of DFT.

The structure in extended XYZ format:
```
12
Lattice="-2.2719 3.2880 6.8043 2.2719 -3.2880 6.8043 2.2719 3.2880 -6.8043" Properties=species:S:1:pos:R:3 pbc="T T T"
Sc 2.2719 1.6274 -2.2817
Sc 0.0000 1.6084 0.0000
Sc 2.2719 1.6274 2.2817
Sc 0.0000 1.6606 4.5225
Sc 0.0000 4.9676 0.0000
Sc 0.0000 1.6606 9.0860
Mn 0.0000 0.0000 6.8043
Rh 2.2719 0.0000 0.0000
Rh 0.0000 0.0000 2.2899
Rh 2.2719 0.0000 4.5910
Rh 0.0000 3.2880 2.2133
Rh 0.0000 0.0000 11.3186
```

Values from the calculation:
Formation energy, eV per atom: -0.819
Density, g/cm³: 6.85

***

6.
Computed, not measured: an optimized crystal structure of AlRh at the PBE level of DFT.

The structure in extended XYZ format:
```
8
Lattice="0.0000 5.5505 7.1082 1.4448 0.0000 7.1082 1.4448 5.5505 0.0000" Properties=species:S:1:pos:R:3 pbc="T T T"
Al 1.0836 0.0939 5.3312
Al 1.8060 2.8691 8.8853
Al 1.0836 8.2319 5.3312
Al 1.8060 11.0072 8.8853
Rh 1.0836 4.1629 3.7992
Rh 1.0836 4.1629 6.8631
Rh 1.8060 6.9382 7.3533
Rh 1.8060 6.9382 10.4172
```

Values from the calculation:
Formation energy, eV per atom: -0.822
Density, g/cm³: 7.57

***

7.
Computed, not measured: an optimized crystal structure of MgZrPt6 at the PBE level of DFT.

The structure in extended XYZ format:
```
8
Lattice="4.0168 0.0000 0.0000 0.0000 4.0168 0.0000 0.0000 0.0000 7.9686" Properties=species:S:1:pos:R:3 pbc="T T T"
Mg 0.0000 0.0000 0.0000
Zr 0.0000 0.0000 3.9843
Pt 0.0000 2.0084 1.9708
Pt 0.0000 2.0084 5.9978
Pt 2.0084 0.0000 1.9708
Pt 2.0084 0.0000 5.9978
Pt 2.0084 2.0084 0.0000
Pt 2.0084 2.0084 3.9843
```

Values from the calculation:
Formation energy, eV per atom: -0.853
Density, g/cm³: 16.61

***

8.
Computed, not measured: an optimized crystal structure of LaTaW2 at the PBE level of DFT.

The structure in extended XYZ format:
```
4
Lattice="0.0000 3.3889 3.3889 3.3889 0.0000 3.3889 3.3889 3.3889 0.0000" Properties=species:S:1:pos:R:3 pbc="T T T"
La 0.0000 0.0000 0.0000
Ta 3.3889 3.3889 3.3889
W 1.6945 1.6945 1.6945
W 5.0834 5.0834 5.0834
```

Values from the calculation:
Formation energy, eV per atom: 0.641
Density, g/cm³: 14.67
ΔE to the lowest computed polymorph, eV per atom: 0.260

***

9.
Computed, not measured: an optimized crystal structure of RbTl15Sb4 at the PBE level of DFT.

The structure in extended XYZ format:
```
20
Lattice="5.0819 0.0000 0.0000 0.0000 5.0819 0.0000 0.0000 0.0000 24.7546" Properties=species:S:1:pos:R:3 pbc="T T T"
Rb 0.0000 0.0000 0.0000
Tl 0.0000 2.5410 2.7144
Tl 0.0000 2.5410 7.5973
Tl 0.0000 2.5410 12.3773
Tl 0.0000 2.5410 17.1573
Tl 0.0000 2.5410 22.0401
Tl 2.5410 0.0000 2.7144
Tl 2.5410 0.0000 7.5973
Tl 2.5410 0.0000 12.3773
Tl 2.5410 0.0000 17.1573
Tl 2.5410 0.0000 22.0401
Tl 2.5410 2.5410 0.0000
Tl 2.5410 2.5410 5.1748
Tl 2.5410 2.5410 9.9884
Tl 2.5410 2.5410 14.7662
Tl 2.5410 2.5410 19.5797
Sb 0.0000 0.0000 4.7554
Sb 0.0000 0.0000 9.8906
Sb 0.0000 0.0000 14.8639
Sb 0.0000 0.0000 19.9992
```

Values from the calculation:
Raw formation energy, meV/atom: -23
Density, g/cm³: 9.45

***

10.
Computed, not measured: an optimized crystal structure of FeRuPb2 at the PBE level of DFT.

The structure in extended XYZ format:
```
4
Lattice="-2.3082 2.4775 3.3401 2.3082 -2.4775 3.3401 2.3082 2.4775 -3.3401" Properties=species:S:1:pos:R:3 pbc="T T T"
Fe 0.0000 0.0000 0.0000
Ru 0.0000 0.0000 3.3401
Pb 2.3082 0.0000 1.6553
Pb 0.0000 2.4775 1.6848
```

Values from the calculation:
Formation energy, eV per atom: 0.645
Density, g/cm³: 12.42
ΔE to the lowest computed polymorph, eV per atom: 0.331

***

11.
Computed, not measured: an optimized crystal structure of Al3BOs at the PBE level of DFT.

The structure in extended XYZ format:
```
5
Lattice="4.0885 0.0000 0.0000 0.0000 4.0885 0.0000 0.0000 0.0000 4.0885" Properties=species:S:1:pos:R:3 pbc="T T T"
Al 0.0000 0.0000 2.0442
Al 0.0000 2.0442 0.0000
Al 2.0442 0.0000 0.0000
B 0.0000 0.0000 0.0000
Os 2.0442 2.0442 2.0442
```

Values from the calculation:
Formation energy, eV per atom: 0.409
Density, g/cm³: 6.85
ΔE to the lowest computed polymorph, eV per atom: 0.000

***

12.
Computed, not measured: an optimized crystal structure of CuTcMo2 at the PBE level of DFT.

The structure in extended XYZ format:
```
4
Lattice="1.3760 0.7944 9.0594 -1.3760 0.7944 9.0594 0.0000 -1.5888 9.0594" Properties=species:S:1:pos:R:3 pbc="T T T"
Cu 0.0000 0.0000 0.0000
Tc 0.0000 0.0000 13.5891
Mo 0.0000 0.0000 6.7804
Mo 0.0000 0.0000 20.3979
```

Values from the calculation:
Formation energy, eV per atom: 0.253
Density, g/cm³: 9.88
ΔE to the lowest computed polymorph, eV per atom: 0.108